First-principles (PBE-GGA) data for an optimized crystal structure of PmSiBRu3, as listed in Alexandria via LeMat-Bulk.

Energy relative to the elements, uncorrected ... -375 meV/atom
Total magnetic moment ... 0.00 μB per formula unit

Cell: 5.7688 11.5167 5.8143 Å, 90.00 90.00 90.00°
Space group Cmcm (No. 63)
Asymmetric unit:
Pm 0.0000 0.2470 0.2500 x4
Si 0.0000 0.1218 0.7500 x4
B 0.0000 0.4909 0.2500 x4
Ru 0.0000 0.3251 0.7500 x4
Ru 0.2467 0.0000 0.0000 x8